A plane-wave DFT calculation with PBE was carried out for an optimized crystal structure of CrMoSe2.

Output
E_tot   -6.92 eV/atom
V   137 Å³ per cell
ΔE_f (raw)   -0.24 eV per formula unit
Crystal system   orthorhombic
Energy above the most stable polymorph in this dataset   231 meV per atom

Lattice parameters (Å, degrees): 3.3907 3.4036 11.8784 90.00 90.00 90.00
Space group Imm2 (No. 44)
Asymmetric unit:
Cr  0.0000  0.0000  0.0000 [2 per cell]
Mo  0.0000  0.5000  0.2700 [2 per cell]
Se  0.0000  0.0000  0.4344 [2 per cell]
Se  0.0000  0.5000  0.6783 [2 per cell]